Material: Li2CuHg
Method: DFT, meta-GGA SCAN
State: single point on PBEsol structure

POSCAR file:
```
Li2CuHg
1.0
-2.1727 -1.8754 2.6491
3.1191 -0.3832 2.2869
-0.8321 3.3869 1.7153
Hg Cu Li
1 1 2
Direct
0.5000 0.5000 0.5000
0.5000 0.0000 0.0000
0.0000 0.5000 0.0000
0.0000 0.0000 0.5000
```

## Properties
The energy of formation from the pure elements is -211.3 meV per atom. The calculation puts the size of the total moment at 0.00 μB per formula unit. Its space-group type is No. 65. Its density is 7.825 g/cm³.